No. 1
First-principles (PBE-GGA) data for KScSb2I after structural relaxation, as listed in the Alexandria database.

extended XYZ file:
```
5
Lattice="-0.0442 1.6895 -5.5293 5.5130 -1.6539 -0.5495 -1.7754 -5.3768 -1.6287" Properties=species:S:1:pos:R:3 pbc="T T T"
Sb 2.7565 -0.8269 -0.2747
I -0.8877 -2.6884 -0.8143
Sc 1.8467 -2.6706 -3.8537
Sb -0.0221 0.8447 -2.7647
K 0.0000 0.0000 0.0000
```

Properties
**Spin magnetization**: 0.012 μB per cell
**Volume**: 39.393 Å³/atom
**Distance to the lowest polymorph of the same formula**: 29.99 kcal/mol of atoms
**Theoretical density**: 3.8 g cm⁻³
**Raw formation energy**: 0.838 eV per atom
**Symmetry**: P4/mmm, No. 123

No. 2
First-principles (PBE-GGA) data for RbNa2ZnSi after structural relaxation, as listed in the Alexandria database.

extended XYZ file:
```
5
Lattice="5.8040 0.0000 0.0000 0.0000 5.8040 0.0000 0.0000 0.0000 4.8567" Properties=species:S:1:pos:R:3 pbc="T T T"
Zn 0.0000 0.0000 2.4283
Na 2.9020 0.0000 0.0000
Na 0.0000 2.9020 0.0000
Si 0.0000 0.0000 0.0000
Rb 2.9020 2.9020 2.4283
```

Properties
**Spin magnetization**: 0.000 μB per cell
**Volume**: 32.721 Å³/atom
**Distance to the lowest polymorph of the same formula**: 0.00 kcal/mol of atoms
**Theoretical density**: 2.3 g cm⁻³
**Raw formation energy**: 0.122 eV per atom
**Symmetry**: P4/mmm, No. 123

Question: Among the records above, which one has the highest spin magnetization?
Answer: KScSb2I